Record 1
# TlZnBi2 PBE relaxed
# energy: -11.1 eV/cell
data_TlZnBi2
_space_group_name_H-M_alt 'P 1'
_space_group_IT_number 1
_space_group_name_Hall 'P 1'
_cell_length_a 5.4841
_cell_length_b 5.4841
_cell_length_c 5.4841
_cell_angle_alpha 60.00
_cell_angle_beta 60.00
_cell_angle_gamma 60.00
loop_
_atom_site_label
_atom_site_type_symbol
_atom_site_fract_x
_atom_site_fract_y
_atom_site_fract_z
Bi1 Bi 0.0000 0.0000 0.0000
Bi2 Bi 0.7500 0.7500 0.7500
Tl1 Tl 0.5000 0.5000 0.5000
Zn1 Zn 0.2500 0.2500 0.2500

***

Record 2
# TbDyGa4Pd2 PBE relaxed
# energy: -38.1 eV/cell
data_TbDyGa4Pd2
_space_group_name_H-M_alt 'P 1'
_space_group_IT_number 1
_space_group_name_Hall 'P 1'
_cell_length_a 4.4224
_cell_length_b 6.6595
_cell_length_c 5.5346
_cell_angle_alpha 90.00
_cell_angle_beta 113.53
_cell_angle_gamma 90.00
loop_
_atom_site_label
_atom_site_type_symbol
_atom_site_fract_x
_atom_site_fract_y
_atom_site_fract_z
Dy1 Dy 0.4125 0.0000 0.3249
Ga1 Ga 0.8727 0.3037 0.2454
Ga2 Ga 0.8727 0.6963 0.2454
Ga3 Ga 0.1275 0.1957 0.7551
Ga4 Ga 0.1275 0.8043 0.7551
Pd1 Pd 0.2976 0.5000 0.0952
Pd2 Pd 0.7022 0.0000 0.9045
Tb1 Tb 0.5872 0.5000 0.6744